## Rb2VGaF6 (GGA+U)

Data for Rb2VGaF6 after structural relaxation.

Energy   -5.00 eV per atom

abc: 6.3479 6.3479 6.3479
angles: 120.20 120.20 89.66
Last column: nearest neighbours and their distance in Å.
Fractional coordinates of all 10 atoms:
Rb  0.2500  0.7500  0.5000  12 F 3.17-3.19
Rb  0.7500  0.2500  0.5000  12 F 3.17-3.19
V  0.0000  0.0000  0.0000  6 F 1.96-2.03
Ga  0.5000  0.5000  0.0000  6 F 2.47-2.51
F  0.2192  0.2192  0.4384  1 V 1.96
F  0.2192  0.7808  0.0000  1 V 1.96
F  0.2252  0.2252  0.0000  1 V 2.03
F  0.7748  0.7748  0.0000  1 V 2.03
F  0.7808  0.2192  0.0000  1 V 1.96
F  0.7808  0.7808  0.5616  1 V 1.96